A plane-wave DFT calculation with PBEsol was carried out for a relaxed ZrSc3 crystal.

Cell lengths 9.489, 9.489, 9.489 Å; angles 152.53, 152.53, 39.24 degrees
Fractional coordinates of all 8 atoms:
Zr 0.125 0.125 0.000
Zr 0.875 0.875 0.000
Sc 0.000 0.500 0.500
Sc 0.250 0.750 0.500
Sc 0.375 0.375 0.000
Sc 0.500 0.000 0.500
Sc 0.625 0.625 0.000
Sc 0.750 0.250 0.500

Computed properties:
Total energy   -0.5290 Ry per atom
Symmetry   I4/mmm (139)
Calculated formation energy   0.028 eV per atom
Theoretical density   4.1 g/cm3



A plane-wave DFT calculation with PBEsol was carried out for a relaxed Zr7Sc crystal.

Cell lengths 6.305, 6.305, 6.305 Å; angles 60.00, 60.00, 60.00 degrees
Fractional coordinates of all 8 atoms:
Zr 0.000 0.000 0.000
Zr 0.000 0.000 0.500
Zr 0.000 0.500 0.000
Zr 0.000 0.500 0.500
Zr 0.500 0.000 0.000
Zr 0.500 0.000 0.500
Zr 0.500 0.500 0.000
Sc 0.500 0.500 0.500

Computed properties:
Total energy   -0.6425 Ry per atom
Symmetry   Fm-3m (225)
Calculated formation energy   0.037 eV per atom
Theoretical density   6.4 g/cm3